# DyTlTe3Pd

Crystalline DyTlTe3Pd at its relaxed geometry (GGA-PBE, OQMD via LeMat-Bulk).

The calculation puts the distance to the lowest polymorph of the same formula at 0 meV per atom. The calculation puts the volume at 186.4 Å³/f.u. The crystal system is orthorhombic. Its calculated density is 7.626 g/cm³.

It has space group Cmcm (No. 63), with a = 4.252 Å, b = 16.760 Å, c = 10.463 Å, α = 90.00°, β = 90.00° and γ = 90.00°. The asymmetric unit holds Dy at (0.000, 0.000, 0.000), Tl at (0.000, 0.242, 0.250), Te at (0.000, 0.094, 0.750), Te at (0.000, 0.375, 0.576) and Pd at (0.000, 0.491, 0.750).